# PBE PmHoTh2Sb5, relaxed
# - Formation energy without anion corrections: -0.219 eV/atom
# - V: 35.4 A^3/atom
# - VASP energy: -5.194 eV/atom
# - Crystal system: tetragonal
# - DOS at the Fermi energy: 0.581 states/eV per atom
data_PmHoTh2Sb5
_space_group_name_H-M_alt 'P 4/m m m'
_space_group_IT_number 123
_space_group_name_Hall '-P 4 2'
_cell_length_a 5.2453
_cell_length_b 5.2453
_cell_length_c 11.5875
_cell_angle_alpha 90.00
_cell_angle_beta 90.00
_cell_angle_gamma 90.00
loop_
_atom_site_label
_atom_site_fract_x
_atom_site_fract_y
_atom_site_fract_z
Pm1 0.0000 0.0000 0.0000
Ho1 0.0000 0.0000 0.5000
Th1 0.5000 0.5000 0.3011
Sb1 0.0000 0.0000 0.2508
Sb2 0.0000 0.5000 0.5000
Sb3 0.5000 0.5000 0.0000

# PBE K12Na3S5, relaxed
# - Formation energy without anion corrections: -0.575 eV/atom
# - V: 52.5 A^3/atom
# - VASP energy: -2.463 eV/atom
# - Crystal system: cubic
# - DOS at the Fermi energy: 0.475 states/eV per atom
data_K12Na3S5
_space_group_name_H-M_alt 'I a -3 d'
_space_group_IT_number 230
_space_group_name_Hall '-I 4bd 2c 3'
_cell_length_a 20.3219
_cell_length_b 20.3219
_cell_length_c 20.3219
_cell_angle_alpha 90.00
_cell_angle_beta 90.00
_cell_angle_gamma 90.00
loop_
_atom_site_label
_atom_site_fract_x
_atom_site_fract_y
_atom_site_fract_z
K1 0.0410 0.0458 0.6402
Na1 0.0000 0.2500 0.1250
S1 0.0000 0.0000 0.0000
S2 0.0000 0.2500 0.3750

# PBE Tb8Ir2Ru, relaxed
# - V: 25.4 A^3/atom
# - ΔE_f: -0.44 eV/atom
# - VASP energy: -6.266 eV/atom
# - Distance to the lowest polymorph of the same formula: 0.000 eV per atom
# - Crystal system: monoclinic
# - DOS at the Fermi energy: 0.925 states/eV per atom
data_Tb8Ir2Ru
_space_group_name_H-M_alt 'C 1 2/m 1'
_space_group_IT_number 12
_space_group_name_Hall '-C 2y'
_cell_length_a 17.3990
_cell_length_b 4.8872
_cell_length_c 6.8727
_cell_angle_alpha 90.00
_cell_angle_beta 106.66
_cell_angle_gamma 90.00
loop_
_atom_site_label
_atom_site_fract_x
_atom_site_fract_y
_atom_site_fract_z
Tb1 0.0309 0.0000 0.2922
Tb2 0.0951 0.5000 0.9531
Tb3 0.1672 0.5000 0.4642
Tb4 0.2033 0.0000 0.8118
Ir1 0.1877 0.0000 0.2041
Ru1 0.0000 0.5000 0.5000

# PBE La4CdBr5, relaxed
# - Formation energy without anion corrections: -1.359 eV/atom
# - V: 36.2 A^3/atom
# - VASP energy: -4.258 eV/atom
# - Crystal system: monoclinic
# - DOS at the Fermi energy: 0.539 states/eV per atom
data_La4CdBr5
_space_group_name_H-M_alt 'C 1 2/m 1'
_space_group_IT_number 12
_space_group_name_Hall '-C 2y'
_cell_length_a 18.9901
_cell_length_b 4.1872
_cell_length_c 9.3246
_cell_angle_alpha 90.00
_cell_angle_beta 102.16
_cell_angle_gamma 90.00
loop_
_atom_site_label
_atom_site_fract_x
_atom_site_fract_y
_atom_site_fract_z
La1 0.0051 0.0000 0.2475
La2 0.1680 0.5000 0.0716
Cd1 0.0000 0.5000 0.0000
Br1 0.0000 0.5000 0.5000
Br2 0.1649 0.0000 0.8222
Br3 0.1702 0.0000 0.3149

# PBE P2OsNCl, relaxed
# - Formation energy without anion corrections: 1.403 eV/atom
# - V: 21.3 A^3/atom
# - VASP energy: -5.041 eV/atom
# - Distance to the lowest polymorph of the same formula: 0.008 eV per atom
# - Crystal system: tetragonal
# - DOS at the Fermi energy: 0.367 states/eV per atom
data_P2OsNCl
_space_group_name_H-M_alt 'P 4/m m m'
_space_group_IT_number 123
_space_group_name_Hall '-P 4 2'
_cell_length_a 4.5002
_cell_length_b 4.5002
_cell_length_c 5.2526
_cell_angle_alpha 90.00
_cell_angle_beta 90.00
_cell_angle_gamma 90.00
loop_
_atom_site_label
_atom_site_fract_x
_atom_site_fract_y
_atom_site_fract_z
P1 0.0000 0.5000 0.0000
Os1 0.0000 0.0000 0.0000
N1 0.5000 0.5000 0.5000
Cl1 0.0000 0.0000 0.5000

# PBE GdDyAlCr, relaxed
# - V: 23.8 A^3/atom
# - ΔE_f: 0.00 eV/atom
# - VASP energy: -8.010 eV/atom
# - Crystal system: cubic
# - DOS at the Fermi energy: 0.682 states/eV per atom
data_GdDyAlCr
_space_group_name_H-M_alt 'F -4 3 m'
_space_group_IT_number 216
_space_group_name_Hall 'F -4 2 3'
_cell_length_a 7.2460
_cell_length_b 7.2460
_cell_length_c 7.2460
_cell_angle_alpha 90.00
_cell_angle_beta 90.00
_cell_angle_gamma 90.00
loop_
_atom_site_label
_atom_site_fract_x
_atom_site_fract_y
_atom_site_fract_z
Gd1 0.0000 0.0000 0.0000
Dy1 0.0000 0.0000 0.5000
Al1 0.2500 0.2500 0.2500
Cr1 0.2500 0.2500 0.7500